DFT (PBE-GGA) results for Ce2PPt after structural relaxation.

The structure belongs to space group R-3m (No. 166, hexagonal axes); the cell edges are 3.6991, 3.6991 and 26.4693 Å and the angles 90.00°, 90.00° and 120.00°. The distinct sites, in fractional coordinates, are Ce at (0.0000, 0.0000, 0.1001), P at (0.0000, 0.0000, 0.5000) and Pt at (0.0000, 0.0000, 0.0000).

For the relative energy among the computed polymorphs, the calculation gives 0.623 eV/atom. Its calculated formation energy is -0.4863 eV/atom. The energy comes out at -6.316 eV/atom.